VASP calculation (PBE) on a geometry-optimized CaH4Pt structure.

```
CaH4Pt
1.0
5.503 -1.930 0.000
5.503 1.930 0.000
-1.615 0.000 6.554
Ca H Pt
2 8 2
Direct
0.181 0.181 0.203 Ca
0.819 0.819 0.797 Ca
0.046 0.046 0.898 H
0.059 0.059 0.421 H
0.245 0.245 0.635 H
0.400 0.400 0.302 H
0.600 0.600 0.698 H
0.755 0.755 0.365 H
0.941 0.941 0.579 H
0.954 0.954 0.102 H
0.104 0.104 0.694 Pt
0.896 0.896 0.306 Pt
```

Output
- mass density (g/cm³) = 5.705
- DFT total energy (eV/cell) = -47.2

VASP calculation (PBE) on a geometry-optimized HfAs2AuSe structure.

```
HfAs2AuSe
1.0
5.175 0.000 0.000
0.000 5.175 0.000
0.000 0.000 5.047
Hf As Au Se
1 2 1 1
Direct
0.000 0.000 0.000 Hf
0.000 0.500 0.000 As
0.500 0.000 0.000 As
0.500 0.500 0.500 Au
0.000 0.000 0.500 Se
```

Output
- mass density (g/cm³) = 7.423
- formation energy without anion corrections (eV per atom) = 0.298
- excess energy over the best structure of this formula in the dataset (eV per formula unit) = 0.00

VASP calculation (PBE) on a geometry-optimized AcBe3Os structure.

```
AcBe3Os
1.0
4.445 0.000 0.000
0.000 4.445 0.000
0.000 0.000 4.445
Ac Be Os
1 3 1
Direct
0.000 0.000 0.000 Ac
0.000 0.500 0.500 Be
0.500 0.000 0.500 Be
0.500 0.500 0.000 Be
0.500 0.500 0.500 Os
```

Output
- calculated formation energy (meV per atom) = -27
- mass density (g/cm³) = 8.401

VASP calculation (PBE) on a geometry-optimized Ti5AlSb2 structure.

```
Ti5AlSb2
1.0
2.302 -6.460 0.000
2.302 6.460 0.000
0.000 0.000 11.572
Ti Al Sb
10 2 4
Direct
0.112 0.888 0.632 Ti
0.112 0.888 0.868 Ti
0.302 0.698 0.250 Ti
0.305 0.695 0.513 Ti
0.305 0.695 0.987 Ti
0.695 0.305 0.013 Ti
0.695 0.305 0.487 Ti
0.698 0.302 0.750 Ti
0.888 0.112 0.132 Ti
0.888 0.112 0.368 Ti
0.305 0.695 0.750 Al
0.695 0.305 0.250 Al
0.104 0.896 0.112 Sb
0.104 0.896 0.388 Sb
0.896 0.104 0.612 Sb
0.896 0.104 0.888 Sb
```

Output
- mass density (g/cm³) = 4.920
- formation energy without anion corrections (eV per atom) = 0.071